[1]
An optimized crystal structure of Sm2YErIn2. Source: Alexandria via LeMat-Bulk, functional PBE-GGA.

a = 5.224 Å, b = 9.905 Å, c = 6.786 Å
α = 90.00°, β = 90.00°, γ = 90.00°
Element x y z (fractional)
Sm: 0.000 0.038 0.000
Sm: 0.000 0.962 0.500
Sm: 0.500 0.181 0.279
Sm: 0.500 0.819 0.779
Y: 0.500 0.462 0.931
Y: 0.500 0.538 0.431
Er: 0.000 0.320 0.652
Er: 0.000 0.680 0.152
In: 0.000 0.364 0.180
In: 0.000 0.636 0.680
In: 0.500 0.149 0.754
In: 0.500 0.851 0.254

Results
Calculated total energy in eV/atom: -4.6857
ΔE_f in meV/atom: -362
Total magnetization in μB per formula unit: 0.00
Space group: No. 26
Volume in Å³/atom: 29.263

***

[2]
An optimized crystal structure of PrMgTlRh. Source: Alexandria via LeMat-Bulk, functional PBE-GGA.

a = 5.063 Å, b = 5.063 Å, c = 5.063 Å
α = 60.00°, β = 60.00°, γ = 60.00°
Element x y z (fractional)
Pr: 0.000 0.000 0.000
Mg: 0.500 0.500 0.500
Tl: 0.250 0.250 0.250
Rh: 0.750 0.750 0.750

Results
Calculated total energy in eV/atom: -4.3087
ΔE_f in meV/atom: -286
Total magnetization in μB per formula unit: 0.00
Space group: No. 216
Volume in Å³/atom: 22.938

***

[3]
An optimized crystal structure of Ba2AgPb2. Source: Alexandria via LeMat-Bulk, functional PBE-GGA.

a = 6.605 Å, b = 6.605 Å, c = 6.605 Å
α = 116.75°, β = 116.75°, γ = 95.73°
Element x y z (fractional)
Ba: 0.250 0.750 0.500
Ba: 0.750 0.250 0.500
Ag: 0.000 0.000 0.000
Pb: 0.331 0.331 0.000
Pb: 0.669 0.669 0.000

Results
Calculated total energy in eV/atom: -2.9500
ΔE_f in meV/atom: -127
Polymorph energy (0 for the lowest one) in eV/atom: 0.329
Total magnetization in μB per formula unit: 0.00
Space group: No. 139
Volume in Å³/atom: 42.521

***

[4]
An optimized crystal structure of In2Hg5Pb5. Source: Alexandria via LeMat-Bulk, functional PBE-GGA.

a = 8.553 Å, b = 8.553 Å, c = 11.589 Å
α = 105.55°, β = 105.55°, γ = 24.78°
Element x y z (fractional)
In: 0.185 0.185 0.267
In: 0.815 0.815 0.733
Hg: 0.000 0.000 0.000
Hg: 0.158 0.158 0.753
Hg: 0.332 0.332 0.496
Hg: 0.668 0.668 0.504
Hg: 0.842 0.842 0.247
Pb: 0.000 0.000 0.500
Pb: 0.335 0.335 0.989
Pb: 0.490 0.490 0.754
Pb: 0.510 0.510 0.246
Pb: 0.665 0.665 0.011

Results
Calculated total energy in eV/atom: -2.0997
ΔE_f in meV/atom: 28
Total magnetization in μB per formula unit: 0.00
Space group: No. 12
Volume in Å³/atom: 28.469

***

[5]
An optimized crystal structure of WCSeI2. Source: Alexandria via LeMat-Bulk, functional PBE-GGA.

a = 4.701 Å, b = 4.701 Å, c = 4.418 Å
α = 90.00°, β = 90.00°, γ = 90.00°
Element x y z (fractional)
W: 0.000 0.000 0.000
C: 0.500 0.500 0.500
Se: 0.500 0.500 0.000
I: 0.000 0.500 0.500
I: 0.500 0.000 0.500

Results
Calculated total energy in eV/atom: -3.7410
Total magnetization in μB per formula unit: 0.00
Formation energy from raw total energies in eV per atom: 2.011
Space group: No. 123
Volume in Å³/atom: 19.526

***

[6]
An optimized crystal structure of PmNiSe. Source: Alexandria via LeMat-Bulk, functional PBE-GGA.

a = 5.741 Å, b = 5.855 Å, c = 8.097 Å
α = 90.00°, β = 110.48°, γ = 90.00°
Element x y z (fractional)
Pm: 0.237 0.245 0.311
Pm: 0.237 0.255 0.811
Pm: 0.763 0.745 0.189
Pm: 0.763 0.755 0.689
Ni: 0.150 0.654 0.539
Ni: 0.150 0.846 0.039
Ni: 0.850 0.154 0.961
Ni: 0.850 0.346 0.461
Se: 0.348 0.747 0.337
Se: 0.348 0.753 0.837
Se: 0.652 0.247 0.163
Se: 0.652 0.253 0.663

Results
Calculated total energy in eV/atom: -5.6826
Total magnetization in μB per formula unit: 0.00
Formation energy from raw total energies in eV per atom: -1.010
Space group: No. 14
Volume in Å³/atom: 21.246

***

[7]
An optimized crystal structure of KNpTeCl2. Source: Alexandria via LeMat-Bulk, functional PBE-GGA.

a = 8.936 Å, b = 8.936 Å, c = 8.609 Å
α = 90.00°, β = 90.00°, γ = 150.53°
Element x y z (fractional)
K: 0.214 0.786 0.750
K: 0.786 0.214 0.250
Np: 0.500 0.500 0.000
Np: 0.500 0.500 0.500
Te: 0.007 0.993 0.250
Te: 0.993 0.007 0.750
Cl: 0.344 0.656 0.017
Cl: 0.344 0.656 0.483
Cl: 0.656 0.344 0.517
Cl: 0.656 0.344 0.983

Results
Calculated total energy in eV/atom: -5.6241
Total magnetization in μB per formula unit: 4.00
Formation energy from raw total energies in eV per atom: -1.449
Space group: No. 63
Volume in Å³/atom: 33.825

***

[8]
An optimized crystal structure of Li5Ga2Cu. Source: Alexandria via LeMat-Bulk, functional PBE-GGA.

a = 5.542 Å, b = 10.748 Å, c = 4.081 Å
α = 90.00°, β = 90.00°, γ = 90.00°
Element x y z (fractional)
Li: 0.000 0.000 0.000
Li: 0.093 0.253 0.000
Li: 0.190 0.867 0.500
Li: 0.310 0.367 0.500
Li: 0.407 0.753 0.000
Li: 0.500 0.500 0.000
Li: 0.593 0.247 0.000
Li: 0.690 0.633 0.500
Li: 0.810 0.133 0.500
Li: 0.907 0.747 0.000
Ga: 0.178 0.606 0.500
Ga: 0.322 0.106 0.500
Ga: 0.678 0.894 0.500
Ga: 0.822 0.394 0.500
Cu: 0.000 0.500 0.000
Cu: 0.500 0.000 0.000

Results
Calculated total energy in eV/atom: -2.6586
ΔE_f in meV/atom: -194
Total magnetization in μB per formula unit: 0.00
Space group: No. 55
Volume in Å³/atom: 15.193